A plane-wave DFT calculation with PBE-GGA was carried out for crystalline HfTePd6 at its relaxed geometry.

```
8
Lattice="-3.989 -4.700 -3.449 2.783 -6.536 -2.609 -0.905 -5.042 0.714" Properties=species:S:1:pos:R:3 pbc="T T T"
Hf -1.055 -8.139 -2.672
Te 0.000 0.000 0.000
Pd -3.336 -11.705 -3.847
Pd -0.991 -13.518 -4.534
Pd -1.386 -5.490 -1.960
Pd -1.120 -2.759 -0.810
Pd 1.226 -4.572 -1.497
Pd -0.725 -10.787 -3.384
```

* density: 11.35 Mg/m³
* raw total energy: -47.6 eV/f.u.
* crystal system: triclinic
* magnetization: 0.00 μB per cell

=====

A plane-wave DFT calculation with PBE-GGA was carried out for crystalline Dy6PbSe3S2 at its relaxed geometry.

```
12
Lattice="4.058 0.000 0.000 0.000 8.249 0.267 -2.029 -2.404 8.617" Properties=species:S:1:pos:R:3 pbc="T T T"
Dy 0.000 5.781 5.884
Dy 2.029 3.896 3.136
Dy 2.029 0.065 3.001
Dy 0.000 2.156 0.217
Dy 2.029 3.690 8.667
Dy 0.000 1.949 5.749
Pb 2.029 0.000 0.000
Se 2.029 4.125 0.134
Se 2.029 -0.239 5.847
Se 0.000 6.085 3.037
S 2.029 3.862 5.884
S 0.000 1.983 3.000
```

* density: 8.46 Mg/m³
* raw total energy: -69.2 eV/f.u.
* crystal system: monoclinic
* magnetization: 0.00 μB per cell

=====

A plane-wave DFT calculation with PBE-GGA was carried out for crystalline HgBi2As2 at its relaxed geometry.

```
5
Lattice="5.751 0.000 0.000 0.000 5.751 0.000 2.875 2.875 4.284" Properties=species:S:1:pos:R:3 pbc="T T T"
As 2.875 2.875 1.262
As 5.751 5.751 3.022
Bi 5.751 2.875 2.142
Bi 2.875 5.751 2.142
Hg 0.000 0.000 0.000
```

* density: 9.01 Mg/m³
* E_form: 0.125 eV per atom
* raw total energy: -16.7 eV/f.u.
* crystal system: tetragonal
* magnetization: 0.00 μB per cell

=====

A plane-wave DFT calculation with PBE-GGA was carried out for crystalline PuCoAs at its relaxed geometry.

```
6
Lattice="3.941 0.000 0.000 0.000 3.941 -0.062 -1.971 -1.858 7.195" Properties=species:S:1:pos:R:3 pbc="T T T"
As 1.971 0.052 3.618
As 0.000 -0.005 0.036
Pu 0.000 2.003 2.359
Pu 0.000 0.088 5.972
Co 1.971 2.042 4.824
Co 1.971 0.013 1.273
```

* density: 11.27 Mg/m³
* E_form: -0.627 eV per atom
* raw total energy: -28.0 eV/f.u.
* crystal system: tetragonal
* magnetization: 8.61 μB per cell

=====

A plane-wave DFT calculation with PBE-GGA was carried out for crystalline Pr3ScSn12 at its relaxed geometry.

```
16
Lattice="-4.613 -0.958 0.781 -0.550 -1.112 -4.612 4.354 -17.878 3.792" Properties=species:S:1:pos:R:3 pbc="T T T"
Pr 1.068 -4.384 0.930
Pr 2.177 -8.939 1.896
Pr 3.287 -13.494 2.862
Sc 0.000 0.000 0.000
Sn -2.581 -1.035 -1.915
Sn -1.521 -5.387 -0.992
Sn -0.404 -9.974 -0.019
Sn 0.713 -14.561 0.953
Sn -1.802 -2.550 0.830
Sn -0.687 -7.129 1.801
Sn 0.428 -11.708 2.772
Sn 1.544 -16.287 3.743
Sn 0.229 -2.627 -1.867
Sn 1.345 -7.206 -0.895
Sn 2.460 -11.785 0.076
Sn 3.575 -16.364 1.047
```

* density: 7.33 Mg/m³
* E_form: -0.451 eV per atom
* raw total energy: -75.9 eV/f.u.
* crystal system: tetragonal
* magnetization: 0.00 μB per cell

=====

A plane-wave DFT calculation with PBE-GGA was carried out for crystalline Nb2In2NiSe6 at its relaxed geometry.

```
11
Lattice="6.423 -0.114 -0.030 -3.274 5.527 -0.030 -1.224 -2.104 7.494" Properties=species:S:1:pos:R:3 pbc="T T T"
Nb -0.915 2.747 3.717
Nb 2.840 0.562 3.717
In 4.909 0.767 -0.030
In -1.760 4.646 -0.030
Ni -0.612 -1.052 3.747
Se 1.515 2.604 5.001
Se -1.602 0.787 5.352
Se 0.411 0.706 2.433
Se 1.476 -1.003 5.352
Se 3.527 2.522 2.082
Se 0.450 4.313 2.082
```

* density: 6.00 Mg/m³
* raw total energy: -57.5 eV/f.u.
* crystal system: monoclinic
* magnetization: 1.83 μB per cell

=====

A plane-wave DFT calculation with PBE-GGA was carried out for crystalline DyPaAl2 at its relaxed geometry.

```
4
Lattice="5.082 0.000 0.000 2.541 4.401 0.000 2.541 1.467 4.149" Properties=species:S:1:pos:R:3 pbc="T T T"
Pa 5.082 2.934 2.075
Al 2.541 1.467 1.037
Al 7.623 4.401 3.112
Dy 0.000 0.000 0.000
```

* density: 8.01 Mg/m³
* E_form: -0.117 eV per atom
* raw total energy: -22.1 eV/f.u.
* crystal system: cubic
* magnetization: 0.53 μB per cell

=====

The records above give, respectively, volume values of 138.2, 291.1, 141.7, 111.3, 428.5, 262.4, 92.8 Å³ per cell.